Here is Co2Ag2F7 after structural relaxation from the Alexandria database. Energies are from GGA+U.

DOS(E_F)   6.8 states/eV/f.u.
DFT total energy   -45.913 eV per formula unit

a = 7.125 Å, b = 7.125 Å, c = 7.125 Å
α = 154.04°, β = 65.50°, γ = 121.04°
Element x y z (fractional)
Co  0.000  0.000  0.000
Co  0.534  0.034  0.500
Ag  0.026  0.272  0.754
Ag  0.518  0.272  0.246
F  0.161  0.555  0.606
F  0.302  0.970  0.332
F  0.357  0.357  0.000
F  0.637  0.970  0.668
F  0.649  0.746  0.903
F  0.843  0.746  0.097
F  0.949  0.555  0.394